# Hf2ScVBi, relaxed, DFT PBE
# Magnetic moment: 0.25 μB per cell
# E_form: 1.541 eV per atom
data_Hf2ScVBi
_cell_length_a 5.325
_cell_length_b 5.325
_cell_length_c 5.248
_cell_angle_alpha 90.00
_cell_angle_beta 90.00
_cell_angle_gamma 90.00
_space_group_name_H-M_alt 'P 4/m m m'
_space_group_IT_number 123
_space_group_name_Hall '-P 4 2'
loop_
_atom_site_label
_atom_site_type_symbol
_atom_site_fract_x
_atom_site_fract_y
_atom_site_fract_z
Hf1 Hf 0.000 0.500 0.000
Sc1 Sc 0.000 0.000 0.500
V1 V 0.500 0.500 0.500
Bi1 Bi 0.000 0.000 0.000